No. 1
The following is a GGA-PBE calculation of Sr4Pa3MoN8 after structural relaxation, from the Alexandria database.

The structure belongs to space group R-3m (No. 166, hexagonal axes); the cell edges are 7.0441, 7.0441 and 17.8826 Å and the angles 90.00°, 90.00° and 120.00°. The asymmetric unit holds Sr at (0.0000, 0.0000, 0.0000), Sr at (0.0000, 0.5000, 0.0000), Pa at (0.0000, 0.5000, 0.5000), Mo at (0.0000, 0.0000, 0.5000), N at (0.0000, 0.0000, 0.2330) and N at (0.0046, 0.5023, 0.7670).

Its total energy is -8.19 eV per atom. The calculation puts the total moment at 1.0 μB per formula unit.

=====

No. 2
The following is a GGA-PBE calculation of CaCdCo2 after structural relaxation, from the Alexandria database.

The structure belongs to space group I-42d (No. 122); the cell edges are 4.354, 4.354 and 18.469 Å and the angles 90.00°, 90.00° and 90.00°. The asymmetric unit holds Ca at (0.000, 0.000, 0.000), Cd at (0.000, 0.000, 0.500) and Co at (0.081, 0.250, 0.625).

The value obtained for the formation energy is 1.982 eV per formula unit. The calculation puts the total moment at 2.4 μB per formula unit.

=====

No. 3
The following is a GGA-PBE calculation of NaCeInSn after structural relaxation, from the Alexandria database.

The structure belongs to space group F-43m (No. 216); the cell edges are 7.598, 7.598 and 7.598 Å and the angles 90.00°, 90.00° and 90.00°. The asymmetric unit holds Na at (0.000, 0.000, 0.000), Ce at (0.000, 0.000, 0.500), In at (0.250, 0.250, 0.750) and Sn at (0.250, 0.250, 0.250).

The energy relative to the lowest polymorph listed for this composition comes out at 35 meV per atom. The value obtained for the formation energy is -1.181 eV per formula unit. The calculation puts the total moment at 1.1 μB per formula unit.

=====

No. 4
The following is a GGA-PBE calculation of TcRhBr2 after structural relaxation, from the Alexandria database.

The structure belongs to space group Cmmm (No. 65); the cell edges are 3.055, 5.708 and 8.641 Å and the angles 90.00°, 90.00° and 90.00°. The asymmetric unit holds Tc at (0.000, 0.000, 0.000), Rh at (0.000, 0.000, 0.500) and Br at (0.000, 0.500, 0.245).

The energy relative to the lowest polymorph listed for this composition comes out at 704 meV per atom. The calculation puts the total moment at 1.0 μB per formula unit.

=====

No. 5
The following is a GGA-PBE calculation of SrMo2P after structural relaxation, from the Alexandria database.

The structure belongs to space group P4/mmm (No. 123); the cell edges are 3.968, 3.968 and 4.833 Å and the angles 90.00°, 90.00° and 90.00°. The asymmetric unit holds Sr at (0.000, 0.000, 0.000), Mo at (0.000, 0.500, 0.500) and P at (0.500, 0.500, 0.000).

The value obtained for the formation energy is 2.967 eV per formula unit. The calculation puts the total moment at 0.0 μB per formula unit.

=====

No. 6
The following is a GGA-PBE calculation of Tb8TcAg2 after structural relaxation, from the Alexandria database.

The structure belongs to space group C2/m (No. 12); the cell edges are 17.353, 5.250 and 6.925 Å and the angles 90.00°, 107.88° and 90.00°. The asymmetric unit holds Tb at (0.026, 0.000, 0.293), Tb at (0.091, 0.500, 0.933), Tb at (0.160, 0.500, 0.465), Tb at (0.197, 0.000, 0.800), Tc at (0.000, 0.500, 0.500) and Ag at (0.184, 0.000, 0.208).

The energy relative to the lowest polymorph listed for this composition comes out at 0 meV per atom. The value obtained for the formation energy is -1.197 eV per formula unit. The calculation puts the total moment at 0.0 μB per formula unit.

=====

No. 7
The following is a GGA-PBE calculation of DyPaPb2 after structural relaxation, from the Alexandria database.

The structure belongs to space group Fm-3m (No. 225); the cell edges are 7.666, 7.666 and 7.666 Å and the angles 90.00°, 90.00° and 90.00°. The asymmetric unit holds Dy at (0.000, 0.000, 0.000), Pa at (0.000, 0.000, 0.500) and Pb at (0.250, 0.250, 0.250).

The energy relative to the lowest polymorph listed for this composition comes out at 96 meV per atom. The value obtained for the formation energy is -0.207 eV per formula unit. The calculation puts the total moment at 2.3 μB per formula unit.

=====

No. 8
The following is a GGA-PBE calculation of KCuMo2 after structural relaxation, from the Alexandria database.

The structure belongs to space group Pmmm (No. 47); the cell edges are 2.606, 5.124 and 5.611 Å and the angles 90.00°, 90.00° and 90.00°. The asymmetric unit holds K at (0.000, 0.000, 0.000), Cu at (0.500, 0.500, 0.000), Mo at (0.000, 0.500, 0.500) and Mo at (0.500, 0.000, 0.500).

The energy relative to the lowest polymorph listed for this composition comes out at 537 meV per atom. The value obtained for the formation energy is 4.875 eV per formula unit. The calculation puts the total moment at 0.6 μB per formula unit.

=====

No. 9
The following is a GGA-PBE calculation of Y2TlIr2 after structural relaxation, from the Alexandria database.

The structure belongs to space group I4/mmm (No. 139); the cell edges are 4.772, 4.772 and 11.046 Å and the angles 90.00°, 90.00° and 90.00°. The asymmetric unit holds Y at (0.000, 0.500, 0.250), Tl at (0.000, 0.000, 0.000) and Ir at (0.000, 0.000, 0.387).

The value obtained for the formation energy is -1.309 eV per formula unit. The calculation puts the total moment at 0.0 μB per formula unit.